Below is crystalline TiMnCuNi at its relaxed geometry, with properties calculated at the PBE-GGA level.

Cell: 5.9762 5.9762 5.9762 Å, 90.00 90.00 90.00°
Last column: nearest neighbours and their distance in Å.
Element x y z (fractional)
Ti: 0.0000 0.0000 0.0000  4 Ni 2.59, 4 Cu 2.59
Ti: 0.0000 0.5000 0.5000  4 Ni 2.59, 4 Cu 2.59
Ti: 0.5000 0.0000 0.5000  4 Ni 2.59, 4 Cu 2.59
Ti: 0.5000 0.5000 0.0000  4 Ni 2.59, 4 Cu 2.59
Mn: 0.0000 0.0000 0.5000  4 Cu 2.59, 4 Ni 2.59
Mn: 0.0000 0.5000 0.0000  4 Cu 2.59, 4 Ni 2.59
Mn: 0.5000 0.0000 0.0000  4 Cu 2.59, 4 Ni 2.59
Mn: 0.5000 0.5000 0.5000  4 Cu 2.59, 4 Ni 2.59
Cu: 0.2500 0.2500 0.7500  4 Mn 2.59, 4 Ti 2.59
Cu: 0.2500 0.7500 0.2500  4 Mn 2.59, 4 Ti 2.59
Cu: 0.7500 0.2500 0.2500  4 Mn 2.59, 4 Ti 2.59
Cu: 0.7500 0.7500 0.7500  4 Mn 2.59, 4 Ti 2.59
Ni: 0.2500 0.2500 0.2500  4 Mn 2.59, 4 Ti 2.59
Ni: 0.2500 0.7500 0.7500  4 Mn 2.59, 4 Ti 2.59
Ni: 0.7500 0.2500 0.7500  4 Mn 2.59, 4 Ti 2.59
Ni: 0.7500 0.7500 0.2500  4 Mn 2.59, 4 Ti 2.59

Summary:
DOS at the Fermi energy, states/eV/f.u.: 4.71
Total DFT energy (no corrections), eV per atom: -6.82
Energy of formation, eV per atom: -0.09

***

Below is crystalline MnVCuNi at its relaxed geometry, with properties calculated at the PBE-GGA level.

Cell: 5.7584 5.7584 5.7584 Å, 90.00 90.00 90.00°
Last column: nearest neighbours and their distance in Å.
Element x y z (fractional)
Mn: 0.0000 0.0000 0.0000  4 Cu 2.49, 4 V 2.49
Mn: 0.0000 0.5000 0.5000  4 Cu 2.49, 4 V 2.49
Mn: 0.5000 0.0000 0.5000  4 Cu 2.49, 4 V 2.49
Mn: 0.5000 0.5000 0.0000  4 Cu 2.49, 4 V 2.49
V: 0.2500 0.2500 0.7500  4 Mn 2.49, 4 Ni 2.49
V: 0.2500 0.7500 0.2500  4 Mn 2.49, 4 Ni 2.49
V: 0.7500 0.2500 0.2500  4 Mn 2.49, 4 Ni 2.49
V: 0.7500 0.7500 0.7500  4 Mn 2.49, 4 Ni 2.49
Cu: 0.2500 0.2500 0.2500  4 Mn 2.49, 4 Ni 2.49
Cu: 0.2500 0.7500 0.7500  4 Mn 2.49, 4 Ni 2.49
Cu: 0.7500 0.2500 0.7500  4 Mn 2.49, 4 Ni 2.49
Cu: 0.7500 0.7500 0.2500  4 Mn 2.49, 4 Ni 2.49
Ni: 0.0000 0.0000 0.5000  4 Cu 2.49, 4 V 2.49
Ni: 0.0000 0.5000 0.0000  4 V 2.49, 4 Cu 2.49
Ni: 0.5000 0.0000 0.0000  4 V 2.49, 4 Cu 2.49
Ni: 0.5000 0.5000 0.5000  4 V 2.49, 4 Cu 2.49

Summary:
DOS at the Fermi energy, states/eV/f.u.: 3.58
Total DFT energy (no corrections), eV per atom: -7.01
Energy of formation, eV per atom: 0.03

***

Below is crystalline Y2MnCu12Ni3 at its relaxed geometry, with properties calculated at the PBE-GGA level.

Cell: 11.2112 11.2112 11.2112 Å, 27.56 27.56 27.56°
Last column: nearest neighbours and their distance in Å.
Element x y z (fractional)
Y: 0.1428 0.1428 0.1428  12 Cu 2.90-3.23, 3 Mn 3.18
Y: 0.8572 0.8572 0.8572  12 Cu 2.90-3.23, 3 Mn 3.18
Mn: 0.5000 0.5000 0.5000  6 Cu 2.45
Cu: 0.0972 0.0972 0.6475  2 Ni 2.35, 4 Cu 2.40-2.41
Cu: 0.0972 0.6475 0.0972  2 Ni 2.35, 4 Cu 2.40-2.41
Cu: 0.1097 0.6064 0.6064  6 Cu 2.41-2.69, 1 Mn 2.45
Cu: 0.3525 0.9028 0.9028  2 Ni 2.35, 4 Cu 2.40-2.41
Cu: 0.3936 0.3936 0.8903  6 Cu 2.41-2.69, 1 Mn 2.45
Cu: 0.3936 0.8903 0.3936  6 Cu 2.41-2.69, 1 Mn 2.45
Cu: 0.6064 0.1097 0.6064  6 Cu 2.41-2.69, 1 Mn 2.45
Cu: 0.6064 0.6064 0.1097  6 Cu 2.41-2.69, 1 Mn 2.45
Cu: 0.6475 0.0973 0.0972  2 Ni 2.35, 4 Cu 2.40-2.41
Cu: 0.8903 0.3936 0.3936  6 Cu 2.41-2.69, 1 Mn 2.45
Cu: 0.9027 0.3525 0.9027  2 Ni 2.35, 4 Cu 2.40-2.41
Cu: 0.9027 0.9028 0.3525  2 Ni 2.35, 4 Cu 2.40-2.41
Ni: 0.0000 0.5000 0.5000  4 Cu 2.35
Ni: 0.5000 0.0000 0.5000  4 Cu 2.35
Ni: 0.5000 0.5000 0.0000  4 Cu 2.35

Summary:
DOS at the Fermi energy, states/eV/f.u.: 14.79
Total DFT energy (no corrections), eV per atom: -4.68
Energy of formation, eV per atom: 0.24

***

Below is crystalline NpMn2Cu at its relaxed geometry, with properties calculated at the PBE-GGA level.

Cell: 4.0658 4.0658 3.4754 Å, 90.00 90.00 90.00°
Last column: nearest neighbours and their distance in Å.
Element x y z (fractional)
Np: 0.0000 0.0000 0.0000  8 Mn 2.67, 4 Cu 2.87
Mn: 0.0000 0.5000 0.5000  4 Np 2.67, 4 Cu 2.67, 4 Mn 2.87
Mn: 0.5000 0.0000 0.5000  4 Np 2.67, 4 Cu 2.67, 4 Mn 2.87
Cu: 0.5000 0.5000 0.0000  8 Mn 2.67, 4 Np 2.87

Summary:
DOS at the Fermi energy, states/eV/f.u.: 5.02
Total DFT energy (no corrections), eV per atom: -8.71
Energy of formation, eV per atom: 0.13

***

Below is crystalline PuNpMnCu at its relaxed geometry, with properties calculated at the PBE-GGA level.

Cell: 6.4352 6.4352 6.4352 Å, 90.00 90.00 90.00°
Last column: nearest neighbours and their distance in Å.
Element x y z (fractional)
Pu: 0.0000 0.0000 0.0000  4 Cu 2.79, 4 Np 2.79
Pu: 0.0000 0.5000 0.5000  4 Cu 2.79, 4 Np 2.79
Pu: 0.5000 0.0000 0.5000  4 Cu 2.79, 4 Np 2.79
Pu: 0.5000 0.5000 0.0000  4 Cu 2.79, 4 Np 2.79
Np: 0.2500 0.2500 0.2500  4 Mn 2.79, 4 Pu 2.79
Np: 0.2500 0.7500 0.7500  4 Mn 2.79, 4 Pu 2.79
Np: 0.7500 0.2500 0.7500  4 Mn 2.79, 4 Pu 2.79
Np: 0.7500 0.7500 0.2500  4 Mn 2.79, 4 Pu 2.79
Mn: 0.0000 0.0000 0.5000  4 Np 2.79, 4 Cu 2.79
Mn: 0.0000 0.5000 0.0000  4 Np 2.79, 4 Cu 2.79
Mn: 0.5000 0.0000 0.0000  4 Np 2.79, 4 Cu 2.79
Mn: 0.5000 0.5000 0.5000  4 Np 2.79, 4 Cu 2.79
Cu: 0.2500 0.2500 0.7500  4 Mn 2.79, 4 Pu 2.79
Cu: 0.2500 0.7500 0.2500  4 Mn 2.79, 4 Pu 2.79
Cu: 0.7500 0.2500 0.2500  4 Mn 2.79, 4 Pu 2.79
Cu: 0.7500 0.7500 0.7500  4 Pu 2.79, 4 Mn 2.79

Summary:
DOS at the Fermi energy, states/eV/f.u.: 6.49
Total DFT energy (no corrections), eV per atom: -10.03
Energy of formation, eV per atom: 0.10

***

Below is crystalline NpMnCuRh at its relaxed geometry, with properties calculated at the PBE-GGA level.

Cell: 6.2835 6.2835 6.2835 Å, 90.00 90.00 90.00°
Last column: nearest neighbours and their distance in Å.
Element x y z (fractional)
Np: 0.0000 0.0000 0.0000  4 Mn 2.72, 4 Rh 2.72
Np: 0.0000 0.5000 0.5000  4 Mn 2.72, 4 Rh 2.72
Np: 0.5000 0.0000 0.5000  4 Mn 2.72, 4 Rh 2.72
Np: 0.5000 0.5000 0.0000  4 Mn 2.72, 4 Rh 2.72
Mn: 0.2500 0.2500 0.2500  4 Np 2.72, 4 Cu 2.72
Mn: 0.2500 0.7500 0.7500  4 Cu 2.72, 4 Np 2.72
Mn: 0.7500 0.2500 0.7500  4 Cu 2.72, 4 Np 2.72
Mn: 0.7500 0.7500 0.2500  4 Cu 2.72, 4 Np 2.72
Cu: 0.0000 0.0000 0.5000  4 Mn 2.72, 4 Rh 2.72
Cu: 0.0000 0.5000 0.0000  4 Mn 2.72, 4 Rh 2.72
Cu: 0.5000 0.0000 0.0000  4 Mn 2.72, 4 Rh 2.72
Cu: 0.5000 0.5000 0.5000  4 Mn 2.72, 4 Rh 2.72
Rh: 0.2500 0.2500 0.7500  4 Np 2.72, 4 Cu 2.72
Rh: 0.2500 0.7500 0.2500  4 Np 2.72, 4 Cu 2.72
Rh: 0.7500 0.2500 0.2500  4 Np 2.72, 4 Cu 2.72
Rh: 0.7500 0.7500 0.7500  4 Np 2.72, 4 Cu 2.72

Summary:
DOS at the Fermi energy, states/eV/f.u.: 6.88
Total DFT energy (no corrections), eV per atom: -8.23
Energy of formation, eV per atom: 0.16

***

Below is crystalline NpUMnCu at its relaxed geometry, with properties calculated at the PBE-GGA level.

Cell: 6.3769 6.3769 6.3769 Å, 90.00 90.00 90.00°
Last column: nearest neighbours and their distance in Å.
Element x y z (fractional)
Np: 0.0000 0.0000 0.0000  4 U 2.76, 4 Cu 2.76
Np: 0.0000 0.5000 0.5000  4 U 2.76, 4 Cu 2.76
Np: 0.5000 0.0000 0.5000  4 U 2.76, 4 Cu 2.76
Np: 0.5000 0.5000 0.0000  4 U 2.76, 4 Cu 2.76
U: 0.2500 0.2500 0.2500  4 Mn 2.76, 4 Np 2.76
U: 0.2500 0.7500 0.7500  4 Mn 2.76, 4 Np 2.76
U: 0.7500 0.2500 0.7500  4 Mn 2.76, 4 Np 2.76
U: 0.7500 0.7500 0.2500  4 Mn 2.76, 4 Np 2.76
Mn: 0.0000 0.0000 0.5000  4 Cu 2.76, 4 U 2.76
Mn: 0.0000 0.5000 0.0000  4 U 2.76, 4 Cu 2.76
Mn: 0.5000 0.0000 0.0000  4 U 2.76, 4 Cu 2.76
Mn: 0.5000 0.5000 0.5000  4 U 2.76, 4 Cu 2.76
Cu: 0.2500 0.2500 0.7500  4 Mn 2.76, 4 Np 2.76
Cu: 0.2500 0.7500 0.2500  4 Mn 2.76, 4 Np 2.76
Cu: 0.7500 0.2500 0.2500  4 Mn 2.76, 4 Np 2.76
Cu: 0.7500 0.7500 0.7500  4 Mn 2.76, 4 Np 2.76

Summary:
DOS at the Fermi energy, states/eV/f.u.: 4.43
Total DFT energy (no corrections), eV per atom: -9.33
Energy of formation, eV per atom: 0.04

***

What is the energy of formation in the first record?
-0.09 eV per atom

***

Look up the DOS at the Fermi energy of the fifth one.
6.49 states/eV/f.u.

***

Number 3 is which compound?
Y2MnCu12Ni3

***

Look up the total DFT energy (no corrections) of the fourth one.
-8.71 eV per atom